An optimized crystal structure of Cu2TcAu, computed with PBE-GGA.

For the density of states at the Fermi level, the calculation gives 0.88 states/eV/atom. Its magnetic moment is 1.010 μB/cell. For the distance to the lowest polymorph of the same formula, the calculation gives 0.116 eV per atom. The value obtained for the formation energy from the elements is 0.28 eV per atom.

It has space group Cm (No. 8), with a = 9.150 Å, b = 2.640 Å, c = 4.802 Å, α = 90.00°, β = 99.59° and γ = 90.00°. Symmetry generates all atoms from Cu at (0.000, 0.000, 0.000), Cu at (0.242, 0.500, 0.247), Tc at (0.253, 0.000, 0.767) and Au at (0.498, 0.000, 0.494).

An optimized crystal structure of NaZrNbSnO6, computed with PBE-GGA.

For the density of states at the Fermi level, the calculation gives 0.00 states/eV/atom. Its magnetic moment is 0.000 μB/cell. For the final energy, the calculation gives -7.70 eV/atom.

It has space group F-43m (No. 216), with a = 8.217 Å, b = 8.217 Å, c = 8.217 Å, α = 90.00°, β = 90.00° and γ = 90.00°. Symmetry generates all atoms from Na at (0.000, 0.000, 0.000), Zr at (0.250, 0.250, 0.250), Nb at (0.250, 0.250, 0.750), Sn at (0.000, 0.000, 0.500) and O at (0.006, 0.250, 0.750).

An optimized crystal structure of K2AlCu, computed with PBE-GGA.

For the density of states at the Fermi level, the calculation gives 0.53 states/eV/atom. Its magnetic moment is 1.474 μB/cell. The value obtained for the formation energy from the elements is 0.56 eV per atom.

It has space group I4/mmm (No. 139), with a = 4.799 Å, b = 4.799 Å, c = 10.604 Å, α = 90.00°, β = 90.00° and γ = 90.00°. Symmetry generates all atoms from K at (0.000, 0.500, 0.250), Al at (0.000, 0.000, 0.000) and Cu at (0.000, 0.000, 0.500).

Q: The highest magnetic moment belongs to which entry?
A: K2AlCu

Q: Look up the magnetic moment of the first one.
A: 1.010 μB/cell